P | # LuCuIr

An optimized crystal structure of LuCuIr (PBE, Alexandria via LeMat-Bulk).

abc: 4.280 4.280 3.381
angles: 90.00 90.00 120.00
Atoms (fractional coordinates):
Lu 0.000 0.000 0.000
Cu 0.333 0.667 0.500
Ir 0.667 0.333 0.500

## Properties
As for the symmetry: P-6m2. For the calculated volume, the calculation gives 17.87 Å³ per atom.


Q | # LuCuIr

An optimized crystal structure of LuCuIr (PBE, Alexandria via LeMat-Bulk).

abc: 5.078 5.078 5.078
angles: 141.14 141.14 56.12
Atoms (fractional coordinates):
Lu 0.000 0.000 0.000
Cu 0.685 0.685 0.000
Ir 0.326 0.326 0.000

## Properties
As for the symmetry: I4mm. For the calculated volume, the calculation gives 17.04 Å³ per atom.


Which of them is the most stable, and which is the least stable? P and Q, in that order.


P | # MgCuIr

An optimized crystal structure of MgCuIr (PBE, Alexandria via LeMat-Bulk).

abc: 4.455 4.902 5.104
angles: 118.58 91.47 90.07
Atoms (fractional coordinates):
Mg 0.000 0.000 0.000
Mg 0.199 0.675 0.350
Cu 0.692 0.478 0.465
Cu 0.692 0.987 0.466
Ir 0.192 0.349 0.699
Ir 0.692 0.485 0.970

## Properties
As for the symmetry: P1. For the calculated volume, the calculation gives 16.31 Å³ per atom.


Q | # MgCuIr

An optimized crystal structure of MgCuIr (PBE, Alexandria via LeMat-Bulk).

abc: 5.097 5.097 5.097
angles: 122.50 118.50 89.17
Atoms (fractional coordinates):
Mg 0.379 0.129 0.250
Mg 0.621 0.871 0.750
Cu 0.000 0.000 0.500
Cu 0.000 0.500 0.000
Ir 0.000 0.500 0.500
Ir 0.500 0.500 0.000

## Properties
As for the symmetry: Imma. For the calculated volume, the calculation gives 15.46 Å³ per atom.


R | # MgCuIr

An optimized crystal structure of MgCuIr (PBE, Alexandria via LeMat-Bulk).

abc: 4.130 4.130 4.130
angles: 60.00 60.00 60.00
Atoms (fractional coordinates):
Mg 0.000 0.000 0.000
Cu 0.750 0.750 0.750
Ir 0.500 0.500 0.500

## Properties
As for the symmetry: F-43m. For the calculated volume, the calculation gives 16.61 Å³ per atom.


S | # MgCuIr

An optimized crystal structure of MgCuIr (PBE, Alexandria via LeMat-Bulk).

abc: 4.715 4.715 4.715
angles: 145.67 131.64 60.64
Atoms (fractional coordinates):
Mg 0.000 0.000 0.000
Cu 0.675 0.675 0.000
Ir 0.331 0.331 0.000

## Properties
As for the symmetry: Imm2. For the calculated volume, the calculation gives 14.59 Å³ per atom.


Which of them is the most stable, and which is the least stable? Q and R, in that order.